First-principles (PBE-GGA) data for crystalline KCoRu2 at its relaxed geometry, as listed in Alexandria.

Summary:
Excess energy over the best structure of this formula in the dataset ... 583 meV/atom
Crystal system ... orthorhombic
Magnetic moment ... 2.331 μB/f.u.

Cell lengths 5.533, 5.533, 2.493 Å; angles 90.00, 90.00, 119.96 degrees
Element x y z (fractional)
K 0.000 0.000 0.000
Co 0.500 0.500 0.000
Ru 0.000 0.500 0.500
Ru 0.500 0.000 0.500


First-principles (PBE-GGA) data for crystalline KCoRu2 at its relaxed geometry, as listed in Alexandria.

Summary:
Excess energy over the best structure of this formula in the dataset ... 835 meV/atom
Crystal system ... tetragonal
Magnetic moment ... 2.579 μB/f.u.

Cell lengths 5.182, 5.182, 5.182 Å; angles 136.14, 136.14, 63.76 degrees
Element x y z (fractional)
K 0.000 0.000 0.000
Co 0.500 0.500 0.000
Ru 0.250 0.750 0.500
Ru 0.750 0.250 0.500


The highest excess energy over the best structure of this formula in the dataset belongs to which entry?
number 2